Density functional theory data (PBE) for a geometry-optimized InCo2Cl structure.

Output
Symmetry: Pmmm
Energy above the most stable polymorph in this dataset in meV per atom: 334
Energy relative to the elements, uncorrected in meV per atom: 485
DFT total energy in eV for the cell shown: -16.86

Geometry as POSCAR:
```
InCo2Cl
1.0
2.9591 0.0000 0.0000
0.0000 4.2537 0.0000
0.0000 0.0000 5.2519
In Co Cl
1 2 1
Cartesian
0.0000 0.0000 0.0000
0.0000 2.1268 2.6260
1.4795 2.1268 0.0000
1.4795 0.0000 2.6260
```

=====

Density functional theory data (PBE) for a geometry-optimized GaAg3C structure.

Output
Energy of formation from the pure elements in meV/atom: 1767
Symmetry: Pm-3m
Energy above the most stable polymorph in this dataset in meV per atom: 1042
DFT total energy in eV for the cell shown: -11.97

Geometry as POSCAR:
```
GaAg3C
1.0
4.8776 0.0000 0.0000
0.0000 4.8776 0.0000
0.0000 0.0000 4.8776
Ga Ag C
1 3 1
Cartesian
0.0000 0.0000 0.0000
0.0000 0.0000 2.4388
0.0000 2.4388 0.0000
2.4388 0.0000 0.0000
2.4388 2.4388 2.4388
```

=====

Density functional theory data (PBE) for a geometry-optimized La4Pr5In structure.

Output
Energy of formation from the pure elements in meV/atom: 51
Symmetry: I4mm
Energy above the most stable polymorph in this dataset in meV per atom: 71
DFT total energy in eV for the cell shown: -45.84

Geometry as POSCAR:
```
La4Pr5In
1.0
-5.4459 5.4459 3.0979
5.4459 -5.4459 3.0979
5.4459 5.4459 -3.0979
La Pr In
4 5 1
Cartesian
3.3394 0.0000 0.0000
7.5524 0.0000 0.0000
0.0000 3.3394 0.0000
0.0000 7.5524 0.0000
3.4087 3.4087 0.0128
2.0372 -2.0372 3.1107
-2.0372 2.0372 3.1107
2.0372 2.0372 3.1107
0.0000 0.0000 4.8640
0.0000 0.0000 1.6524
```